i | Computed, not measured: TlPdPb after structural relaxation at the PBE level of DFT.

Lattice parameters (Å, degrees): 4.778 4.778 4.778 60.00 60.00 60.00
Fractional coordinates of all 3 atoms:
1 Pb 0.500 0.500 0.500
2 Tl 0.000 0.000 0.000
3 Pd 0.250 0.250 0.250

Magnetization   0.0 μB/f.u.
SG   F-43m

---

ii | Computed, not measured: TlPdPb after structural relaxation at the PBE level of DFT.

Lattice parameters (Å, degrees): 5.667 5.893 10.118 82.26 73.74 61.26
Fractional coordinates of all 12 atoms:
1 Pb 0.167 0.500 0.665
2 Pb 0.333 0.500 0.335
3 Pb 0.583 0.000 0.835
4 Pb 0.417 0.000 0.165
5 Pd 0.622 0.500 0.756
6 Pd 0.878 0.500 0.244
7 Pd 0.128 0.000 0.744
8 Pd 0.872 0.000 0.256
9 Tl 0.913 0.175 0.500
10 Tl 0.587 0.825 0.500
11 Tl 0.837 0.325 0.000
12 Tl 0.163 0.675 0.000

Magnetization   0.0 μB/f.u.
SG   Fddd

---

iii | Computed, not measured: TlPdPb after structural relaxation at the PBE level of DFT.

Lattice parameters (Å, degrees): 3.431 3.431 6.659 104.93 104.93 90.00
Fractional coordinates of all 3 atoms:
1 Pb 0.028 0.028 0.055
2 Tl 0.308 0.308 0.617
3 Pd 0.664 0.664 0.328

Magnetization   0.0 μB/f.u.
SG   I4mm

---

Last place for stability: iii